1.
HfNi4Pd | PBE-GGA | relaxed

Cell and atoms, written as extended XYZ:
```
6
Lattice="0.0000 3.3760 3.3760 3.3760 0.0000 3.3760 3.3760 3.3760 0.0000" Properties=species:S:1:pos:R:3 pbc="T T T"
Hf 0.0000 0.0000 0.0000
Ni 2.5348 2.5348 2.5348
Ni 4.2173 4.2173 2.5348
Ni 4.2173 2.5348 4.2173
Ni 2.5348 4.2173 4.2173
Pd 5.0640 5.0640 5.0640
```

Calculated values
**Space group**: No. 216
**Magnetic moment**: 0.053 μB per formula unit
**Formation energy from the elements**: -463 meV/atom

---

2.
Hf2NiPd | PBE-GGA | relaxed

Cell and atoms, written as extended XYZ:
```
16
Lattice="6.4054 0.0000 0.0000 0.0000 6.4054 0.0000 0.0000 0.0000 6.4054" Properties=species:S:1:pos:R:3 pbc="T T T"
Hf 0.0000 0.0000 0.0000
Hf 0.0000 3.2027 3.2027
Hf 1.6013 1.6013 1.6013
Hf 1.6013 4.8040 4.8040
Hf 3.2027 0.0000 3.2027
Hf 3.2027 3.2027 0.0000
Hf 4.8040 1.6013 4.8040
Hf 4.8040 4.8040 1.6013
Ni 1.6013 1.6013 4.8040
Ni 1.6013 4.8040 1.6013
Ni 4.8040 1.6013 1.6013
Ni 4.8040 4.8040 4.8040
Pd 0.0000 0.0000 3.2027
Pd 0.0000 3.2027 0.0000
Pd 3.2027 0.0000 0.0000
Pd 3.2027 3.2027 3.2027
```

Calculated values
**Space group**: No. 216
**Magnetic moment**: 0.000 μB per formula unit
**Formation energy from the elements**: -267 meV/atom

---

3.
Hf3Ni4Pd4 | PBE-GGA | relaxed

Cell and atoms, written as extended XYZ:
```
11
Lattice="-2.7141 2.7141 6.2425 2.7141 -2.7141 6.2425 2.7141 2.7141 -6.2425" Properties=species:S:1:pos:R:3 pbc="T T T"
Hf 0.0000 0.0000 0.0000
Hf 2.7141 0.0000 3.1213
Hf 0.0000 2.7141 3.1213
Ni 0.8388 -0.8388 4.8059
Ni 1.8754 1.8754 1.4366
Ni -0.8388 0.8388 4.8059
Ni 0.8388 0.8388 7.6792
Pd 2.7141 0.0000 0.0000
Pd 0.0000 0.0000 2.5412
Pd 0.0000 2.7141 0.0000
Pd 0.0000 0.0000 9.9438
```

Calculated values
**Excess energy over the best structure of this formula in the dataset**: 156 meV/atom
**Space group**: No. 121
**Magnetic moment**: 0.003 μB per formula unit
**Formation energy from the elements**: -194 meV/atom

---

4.
HfNiPd2 | PBE-GGA | relaxed

Cell and atoms, written as extended XYZ:
```
16
Lattice="6.2747 0.0000 0.0000 0.0000 6.2747 0.0000 0.0000 0.0000 6.2747" Properties=species:S:1:pos:R:3 pbc="T T T"
Hf 0.0000 0.0000 0.0000
Hf 0.0000 3.1373 3.1373
Hf 3.1373 0.0000 3.1373
Hf 3.1373 3.1373 0.0000
Ni 1.5687 1.5687 4.7060
Ni 1.5687 4.7060 1.5687
Ni 4.7060 1.5687 1.5687
Ni 4.7060 4.7060 4.7060
Pd 0.0000 0.0000 3.1373
Pd 0.0000 3.1373 0.0000
Pd 1.5687 1.5687 1.5687
Pd 1.5687 4.7060 4.7060
Pd 3.1373 0.0000 0.0000
Pd 3.1373 3.1373 3.1373
Pd 4.7060 1.5687 4.7060
Pd 4.7060 4.7060 1.5687
```

Calculated values
**Space group**: No. 216
**Magnetic moment**: 0.003 μB per formula unit
**Formation energy from the elements**: -520 meV/atom

---

5.
Hf2Ni2Pd | PBE-GGA | relaxed

Cell and atoms, written as extended XYZ:
```
10
Lattice="6.9497 0.0000 0.0000 0.0000 6.9497 0.0000 0.0000 0.0000 3.2571" Properties=species:S:1:pos:R:3 pbc="T T T"
Hf 1.2079 2.2669 0.0000
Hf 2.2669 5.7417 0.0000
Hf 4.6827 1.2079 0.0000
Hf 5.7417 4.6827 0.0000
Ni 0.8719 4.3467 1.6285
Ni 2.6030 0.8719 1.6285
Ni 4.3467 6.0778 1.6285
Ni 6.0778 2.6030 1.6285
Pd 0.0000 0.0000 1.6285
Pd 3.4748 3.4748 1.6285
```

Calculated values
**Space group**: No. 127
**Magnetic moment**: 0.008 μB per formula unit
**Formation energy from the elements**: -620 meV/atom

---

6.
HfNiPd2 | PBE-GGA | relaxed

Cell and atoms, written as extended XYZ:
```
16
Lattice="6.2657 0.0000 0.0000 0.0000 6.2657 0.0000 0.0000 0.0000 6.2657" Properties=species:S:1:pos:R:3 pbc="T T T"
Hf 0.0000 0.0000 0.0000
Hf 0.0000 3.1329 3.1329
Hf 3.1329 0.0000 3.1329
Hf 3.1329 3.1329 0.0000
Ni 1.5664 1.5664 1.5664
Ni 1.5664 4.6993 4.6993
Ni 4.6993 1.5664 4.6993
Ni 4.6993 4.6993 1.5664
Pd 0.0000 0.0000 3.1329
Pd 0.0000 3.1329 0.0000
Pd 1.5664 1.5664 4.6993
Pd 1.5664 4.6993 1.5664
Pd 3.1329 0.0000 0.0000
Pd 3.1329 3.1329 3.1329
Pd 4.6993 1.5664 1.5664
Pd 4.6993 4.6993 4.6993
```

Calculated values
**Space group**: No. 216
**Magnetic moment**: 0.004 μB per formula unit
**Formation energy from the elements**: -519 meV/atom